[1]
SrTb2NdSe4 GGA-PBE relaxed; total magnetic moment = 0.000 μB/f.u.; ΔE_f (raw) = -1.8400 eV per atom; total DFT energy (no corrections) = -5.55 eV per atom; SG = P2/m (10)
1.0
4.1732 0.0000 0.0000
0.0000 7.2957 -0.1744
0.0000 2.5395 6.8363
Sr Tb Nd Se
1 2 1 4
Direct
0.5000 0.5000 0.0000 Sr
0.0000 0.0000 0.0000 Tb
0.5000 0.0000 0.5000 Tb
0.0000 0.5000 0.5000 Nd
0.0000 0.7655 0.7428 Se
0.0000 0.2345 0.2572 Se
0.5000 0.7632 0.2470 Se
0.5000 0.2368 0.7530 Se



[2]
Sr3TbNd3Se8 GGA-PBE relaxed; total magnetic moment = 0.000 μB/f.u.; ΔE_f (raw) = -1.9428 eV per atom; total DFT energy (no corrections) = -5.40 eV per atom; SG = R-3m (166)
1.0
-7.3718 4.1302 1.0644
1.5849 -4.0677 -7.3124
-1.5653 -4.6515 7.2079
Sr Tb Nd Se
3 1 3 8
Direct
0.0000 0.0000 0.0000 Sr
0.0000 0.5000 0.0000 Sr
0.5000 0.5000 0.0000 Sr
0.0000 0.0000 0.5000 Tb
0.5000 0.0000 0.5000 Nd
0.5000 0.5000 0.5000 Nd
0.0000 0.5000 0.5000 Nd
0.2530 0.5060 0.2591 Se
0.7470 0.4940 0.7409 Se
0.7600 0.5199 0.2687 Se
0.2400 0.4801 0.7313 Se
0.7600 0.0087 0.2687 Se
0.2400 0.9913 0.7313 Se
0.2487 0.0087 0.2687 Se
0.7513 0.9913 0.7313 Se



[3]
Sr2TbNdSe4 GGA-PBE relaxed; total magnetic moment = 0.000 μB/f.u.; ΔE_f (raw) = -1.9031 eV per atom; total DFT energy (no corrections) = -5.24 eV per atom; SG = P2/m (10)
1.0
-3.4811 1.2562 2.0964
2.9269 -2.4213 6.3111
1.9814 7.1966 -1.0222
Sr Tb Nd Se
2 1 1 4
Direct
0.5000 0.0000 0.5000 Sr
0.0000 0.5000 0.5000 Sr
0.0000 0.0000 0.0000 Tb
0.5000 0.5000 0.0000 Nd
0.5000 0.2393 0.2344 Se
0.5000 0.7607 0.7656 Se
0.0000 0.2478 0.7616 Se
0.0000 0.7522 0.2384 Se



[4]
SrNdTeSe GGA-PBE relaxed; total magnetic moment = 0.000 μB/f.u.; ΔE_f (raw) = -1.6818 eV per atom; total DFT energy (no corrections) = -4.95 eV per atom; SG = R3m (160)
1.0
-0.1442 -3.3704 2.7534
1.3958 -0.5827 -4.0836
6.8766 3.9749 1.7835
Sr Nd Te Se
1 1 1 1
Direct
0.9521 0.3740 0.3413 Sr
0.3182 0.5571 0.8906 Nd
0.4791 0.1375 0.6319 Te
0.1285 0.9622 0.1059 Se



[5]
SrNd2Tl3Se6 GGA-PBE relaxed; total magnetic moment = 0.000 μB/f.u.; ΔE_f (raw) = -1.2703 eV per atom; total DFT energy (no corrections) = -4.54 eV per atom; SG = C2/m (12)
1.0
-3.8333 0.5990 -1.9896
4.0383 -0.9801 -8.0755
-0.8778 -9.3544 3.6529
Sr Nd Tl Se
1 2 3 6
Direct
0.5000 0.0000 0.0000 Sr
0.8319 0.6675 0.6637 Nd
0.1681 0.3325 0.3363 Nd
0.5000 0.5000 0.0000 Tl
0.8351 0.1670 0.6703 Tl
0.1649 0.8330 0.3297 Tl
0.3352 0.8910 0.6704 Se
0.6738 0.5624 0.3476 Se
0.6648 0.1090 0.3296 Se
0.0127 0.2507 0.0255 Se
0.9873 0.7493 0.9745 Se
0.3262 0.4376 0.6524 Se



[6]
SrNdTm4Se8 GGA-PBE relaxed; total magnetic moment = 0.000 μB/f.u.; ΔE_f (raw) = -1.7678 eV per atom; total DFT energy (no corrections) = -5.50 eV per atom; SG = R3m (160)
1.0
-6.0764 4.2787 4.0190
-6.5986 3.0288 -4.3204
-7.7108 -3.5643 1.0171
Sr Nd Tm Se
1 1 4 8
Direct
0.3724 0.3724 0.8828 Sr
0.0019 0.0019 0.9942 Nd
0.6257 0.6257 0.1228 Tm
0.0016 0.4948 0.5020 Tm
0.4948 0.0016 0.5020 Tm
0.0016 0.0016 0.5020 Tm
0.2439 0.7890 0.7231 Se
0.7890 0.2439 0.7231 Se
0.2439 0.2439 0.7231 Se
0.2349 0.2349 0.2952 Se
0.7502 0.2319 0.2678 Se
0.2319 0.7502 0.2678 Se
0.7502 0.7502 0.2678 Se
0.7579 0.7579 0.7263 Se



[7]
SrNd2TmSe4 GGA-PBE relaxed; total magnetic moment = 0.000 μB/f.u.; ΔE_f (raw) = -1.8151 eV per atom; total DFT energy (no corrections) = -5.52 eV per atom; SG = P2/m (10)
1.0
-2.0894 -0.9898 -3.4815
6.2603 0.4213 -3.8770
3.1826 -6.5501 -0.0478
Sr Nd Tm Se
1 2 1 4
Direct
0.5000 0.5000 0.0000 Sr
0.0000 0.0000 0.0000 Nd
0.5000 0.0000 0.5000 Nd
0.0000 0.5000 0.5000 Tm
0.0000 0.7463 0.7391 Se
0.0000 0.2537 0.2609 Se
0.5000 0.7373 0.2650 Se
0.5000 0.2627 0.7350 Se



[8]
SrNd2YSe4 GGA-PBE relaxed; total magnetic moment = 0.000 μB/f.u.; ΔE_f (raw) = -1.8457 eV per atom; total DFT energy (no corrections) = -5.80 eV per atom; SG = P2/m (10)
1.0
4.2064 0.0000 0.0000
0.0000 7.3722 -0.1846
0.0000 2.5582 6.8700
Sr Nd Y Se
1 2 1 4
Direct
0.5000 0.5000 0.0000 Sr
0.0000 0.0000 0.0000 Nd
0.5000 0.0000 0.5000 Nd
0.0000 0.5000 0.5000 Y
0.0000 0.7492 0.7415 Se
0.0000 0.2508 0.2584 Se
0.5000 0.7424 0.2600 Se
0.5000 0.2576 0.7400 Se



[9]
SrNdY2Se4 GGA-PBE relaxed; total magnetic moment = 0.000 μB/f.u.; ΔE_f (raw) = -1.8391 eV per atom; total DFT energy (no corrections) = -6.00 eV per atom; SG = P2/m (10)
1.0
-0.7142 -3.5767 2.0172
-1.5292 -3.2686 -6.3369
6.1315 -2.7873 -2.7713
Sr Nd Y Se
1 1 2 4
Direct
0.5000 0.5000 0.0000 Sr
0.0000 0.5000 0.5000 Nd
0.0000 0.0000 0.0000 Y
0.5000 0.0000 0.5000 Y
0.0000 0.7662 0.7425 Se
0.0000 0.2338 0.2575 Se
0.5000 0.7640 0.2468 Se
0.5000 0.2360 0.7532 Se



[10]
Sr3Nd2YSe6 GGA-PBE relaxed; total magnetic moment = 0.000 μB/f.u.; ΔE_f (raw) = -1.9103 eV per atom; total DFT energy (no corrections) = -5.41 eV per atom; SG = C2/m (12)
1.0
7.3864 0.0029 -0.0003
-3.6889 6.3993 -0.0003
-1.2339 -2.1364 7.1313
Sr Nd Y Se
3 2 1 6
Direct
0.1688 0.8312 0.5000 Sr
0.8312 0.1688 0.5000 Sr
0.5000 0.5000 0.5000 Sr
0.3341 0.6659 0.0000 Nd
0.6659 0.3341 0.0000 Nd
0.0000 0.0000 0.0000 Y
0.9212 0.5952 0.7627 Se
0.7541 0.7541 0.2388 Se
0.0788 0.4048 0.2373 Se
0.5952 0.9212 0.7627 Se
0.2459 0.2459 0.7612 Se
0.4048 0.0788 0.2373 Se



[11]
Nd2TaSe6 GGA-PBE relaxed; total magnetic moment = 0.000 μB/f.u.; ΔE_f (raw) = -1.2601 eV per atom; total DFT energy (no corrections) = -5.96 eV per atom; SG = P2_1/c (14)
1.0
-0.0505 0.8855 6.3987
4.7368 -6.0520 0.8749
7.3457 5.6098 -0.9653
Nd Ta Se
4 2 12
Direct
0.9569 0.3822 0.7497 Nd
0.5431 0.8822 0.7503 Nd
0.4569 0.1178 0.2497 Nd
0.0431 0.6178 0.2503 Nd
0.5000 0.5000 0.0000 Ta
0.0000 0.0000 0.5000 Ta
0.8900 0.9784 0.2326 Se
0.8456 0.6975 0.5532 Se
0.8370 0.6686 0.9448 Se
0.6630 0.1686 0.5552 Se
0.6544 0.1975 0.9468 Se
0.6100 0.4784 0.2673 Se
0.1100 0.0216 0.7674 Se
0.1544 0.3025 0.4468 Se
0.1630 0.3314 0.0552 Se
0.3370 0.8314 0.4448 Se
0.3456 0.8025 0.0532 Se
0.3900 0.5216 0.7326 Se



[12]
NdTa4Se8 GGA-PBE relaxed; total magnetic moment = 0.000 μB/f.u.; ΔE_f (raw) = -0.8635 eV per atom; total DFT energy (no corrections) = -7.02 eV per atom; SG = R-3m (166)
1.0
-3.2265 -5.5470 -3.0652
3.9562 -0.9642 5.8304
-4.9548 5.1156 4.2081
Nd Ta Se
1 4 8
Direct
0.0000 0.5000 0.5000 Nd
0.0000 0.0000 0.0000 Ta
0.0000 0.5000 0.0000 Ta
0.5000 0.5000 0.0000 Ta
0.5000 0.0000 0.0000 Ta
0.4852 0.7426 0.2278 Se
0.5148 0.2574 0.7722 Se
0.4753 0.2376 0.2299 Se
0.0077 0.2453 0.7701 Se
0.5247 0.7624 0.7701 Se
0.0077 0.7624 0.7701 Se
0.9923 0.2376 0.2299 Se
0.9923 0.7547 0.2299 Se



[13]
Nd2TaSe5 GGA-PBE relaxed; total magnetic moment = 0.000 μB/f.u.; ΔE_f (raw) = -1.1265 eV per atom; total DFT energy (no corrections) = -5.98 eV per atom; SG = I4mm (107)
1.0
7.2973 0.0012 -0.0003
0.0014 7.2973 0.0001
-3.6492 -3.6489 4.0782
Nd Ta Se
2 1 5
Direct
0.2983 0.7983 0.5966 Nd
0.7983 0.2984 0.5966 Nd
0.9542 0.9542 0.9084 Ta
0.7699 0.2549 0.0248 Se
0.2551 0.2551 0.0254 Se
0.7704 0.7704 0.0255 Se
0.2549 0.7699 0.0248 Se
0.6760 0.6759 0.3519 Se



[14]
Tb4NdSe5 GGA-PBE relaxed; total magnetic moment = 0.000 μB/f.u.; ΔE_f (raw) = -1.7873 eV per atom; total DFT energy (no corrections) = -5.86 eV per atom; SG = C2/m (12); offset from the most stable computed form = 0.000 eV per atom
1.0
4.0155 0.0000 0.9172
1.6937 6.7049 1.8335
0.0101 0.0093 9.2039
Tb Nd Se
4 1 5
Direct
0.5981 0.1995 0.6043 Tb
0.2040 0.3915 0.2005 Tb
0.7960 0.6085 0.7995 Tb
0.4019 0.8005 0.3957 Tb
0.0000 0.0000 0.0000 Nd
0.2033 0.9010 0.6923 Se
0.7967 0.0990 0.3077 Se
0.3949 0.3141 0.8961 Se
0.0000 0.5000 0.5000 Se
0.6051 0.6859 0.1039 Se



[15]
Tb4NdSe5 GGA-PBE relaxed; total magnetic moment = 0.000 μB/f.u.; ΔE_f (raw) = -1.7797 eV per atom; total DFT energy (no corrections) = -5.85 eV per atom; SG = I4/mmm (139); offset from the most stable computed form = 0.008 eV per atom
1.0
4.1183 0.0000 0.0000
0.0000 4.1183 0.0000
-2.0592 -2.0592 14.6238
Tb Nd Se
4 1 5
Direct
0.4021 0.4021 0.8042 Tb
0.7962 0.7962 0.5924 Tb
0.2038 0.2038 0.4076 Tb
0.5979 0.5979 0.1958 Tb
0.0000 0.0000 0.0000 Nd
0.1032 0.1032 0.2064 Se
0.5000 0.5000 0.0000 Se
0.8968 0.8968 0.7936 Se
0.3024 0.3024 0.6048 Se
0.6976 0.6976 0.3952 Se



[16]
Tb4NdSe7 GGA-PBE relaxed; total magnetic moment = 0.000 μB/f.u.; ΔE_f (raw) = -1.8631 eV per atom; total DFT energy (no corrections) = -5.84 eV per atom; SG = Cm (8)
1.0
4.0047 0.0000 0.0000
-2.0023 6.5691 -1.7139
0.0000 0.0609 12.3131
Tb Nd Se
4 1 7
Direct
0.7008 0.4016 0.8147 Tb
0.2999 0.5998 0.1862 Tb
0.0008 0.0015 0.0021 Tb
0.1132 0.2264 0.4194 Tb
0.8873 0.7745 0.5791 Nd
0.7393 0.4786 0.3473 Se
0.2526 0.5051 0.6500 Se
0.3417 0.6834 0.9508 Se
0.6600 0.3200 0.0502 Se
0.0433 0.0866 0.7893 Se
0.9585 0.9170 0.2153 Se
0.5027 0.0053 0.4957 Se



[17]
TbNd5Se6 GGA-PBE relaxed; total magnetic moment = 0.000 μB/f.u.; ΔE_f (raw) = -1.8293 eV per atom; total DFT energy (no corrections) = -5.94 eV per atom; SG = C2/m (12)
1.0
7.2728 0.2094 0.0000
2.2477 6.9354 0.0000
1.1239 3.4677 6.3268
Tb Nd Se
1 5 6
Direct
0.0000 0.0000 0.0000 Tb
0.5000 0.1716 0.6568 Nd
0.0000 0.3325 0.3351 Nd
0.5000 0.5000 0.0000 Nd
0.0000 0.6675 0.6649 Nd
0.5000 0.8284 0.3432 Nd
0.7554 0.0817 0.3251 Se
0.2446 0.5932 0.3251 Se
0.2484 0.2429 0.0000 Se
0.7516 0.7571 0.0000 Se
0.7554 0.4068 0.6749 Se
0.2446 0.9183 0.6749 Se



[18]
TbNd4Se6 GGA-PBE relaxed; total magnetic moment = 0.000 μB/f.u.; ΔE_f (raw) = -1.7332 eV per atom; total DFT energy (no corrections) = -5.79 eV per atom; SG = R-3c (167)
1.0
-5.2823 -0.7014 6.4184
-5.5563 -3.4846 -5.1551
2.9086 -7.6173 1.7629
Tb Nd Se
2 8 12
Direct
0.5000 0.5000 0.5000 Tb
0.0000 0.0000 0.0000 Tb
0.3639 0.1361 0.2500 Nd
0.8639 0.2500 0.3639 Nd
0.2500 0.6361 0.1361 Nd
0.2500 0.2500 0.7500 Nd
0.7500 0.7500 0.2500 Nd
0.7500 0.3639 0.8639 Nd
0.1361 0.7500 0.6361 Nd
0.6361 0.8639 0.7500 Nd
0.6803 0.0607 0.0847 Se
0.0847 0.3197 0.0607 Se
0.5847 0.4393 0.1803 Se
0.9393 0.0847 0.6803 Se
0.5607 0.1803 0.5847 Se
0.1803 0.4153 0.4393 Se
0.8197 0.5847 0.5607 Se
0.4393 0.8197 0.4153 Se
0.0607 0.9153 0.3197 Se
0.4153 0.5607 0.8197 Se
0.9153 0.6803 0.9393 Se
0.3197 0.9393 0.9153 Se



[19]
Tb3Nd5Se8 GGA-PBE relaxed; total magnetic moment = 0.000 μB/f.u.; ΔE_f (raw) = -1.8091 eV per atom; total DFT energy (no corrections) = -5.91 eV per atom; SG = R-3m (166)
1.0
7.2266 0.0000 4.1394
2.4278 6.8066 4.1394
-0.0138 -0.0097 8.4019
Tb Nd Se
3 5 8
Direct
0.5000 0.0000 0.5000 Tb
0.0000 0.0000 0.5000 Tb
0.0000 0.5000 0.5000 Tb
0.5000 0.0000 0.0000 Nd
0.5000 0.5000 0.0000 Nd
0.0000 0.0000 0.0000 Nd
0.0000 0.5000 0.0000 Nd
0.5000 0.5000 0.5000 Nd
0.2501 0.2501 0.7410 Se
0.2501 0.7588 0.7410 Se
0.7588 0.2501 0.7410 Se
0.7543 0.7543 0.7370 Se
0.7499 0.7499 0.2590 Se
0.7499 0.2412 0.2590 Se
0.2412 0.7499 0.2590 Se
0.2457 0.2457 0.2630 Se



[20]
TbNd4Se5 GGA-PBE relaxed; total magnetic moment = 0.000 μB/f.u.; ΔE_f (raw) = -1.8204 eV per atom; total DFT energy (no corrections) = -5.93 eV per atom; SG = I4/mmm (139)
1.0
4.1976 0.0000 0.0000
0.0000 4.1976 0.0000
-2.0988 -2.0988 14.9273
Tb Nd Se
1 4 5
Direct
0.0000 0.0000 0.0000 Tb
0.3982 0.3982 0.7965 Nd
0.8043 0.8043 0.6086 Nd
0.1957 0.1957 0.3913 Nd
0.6018 0.6018 0.2035 Nd
0.0962 0.0962 0.1925 Se
0.5000 0.5000 0.0000 Se
0.9038 0.9038 0.8075 Se
0.2975 0.2975 0.5951 Se
0.7025 0.7025 0.4049 Se



[21]
TbNd2Se GGA-PBE relaxed; total magnetic moment = 0.004 μB/f.u.; ΔE_f (raw) = -0.5525 eV per atom; total DFT energy (no corrections) = -4.97 eV per atom; SG = R-3m (166)
1.0
3.8585 0.0000 0.0000
1.9293 3.3416 0.0000
1.9293 1.1139 10.4120
Nd Tb Se
2 1 1
Direct
0.1076 0.1076 0.6771 Nd
0.8924 0.8924 0.3229 Nd
0.0000 0.0000 0.0000 Tb
0.5000 0.5000 0.5000 Se